{"formula": "BaPaBN3", "functional": "PBE", "state": "relaxed", "m_tot_mub_per_cell": 1.93, "e_form_raw_kj_per_mol_atoms": -108.4, "lattice_angstrom": [[5.815, 0.000, 0.000], [-2.907, 5.036, 0.000], [0.000, 0.000, 6.141]], "species": ["N", "N", "N", "N", "N", "N", "Pa", "Pa", "B", "B", "Ba", "Ba"], "frac_coords": [[0.815, 0.185, 0.750], [0.185, 0.370, 0.250], [0.630, 0.815, 0.250], [0.185, 0.815, 0.250], [0.370, 0.185, 0.750], [0.815, 0.630, 0.750], [0.000, 0.000, 0.500], [0.000, 0.000, 0.000], [0.667, 0.333, 0.750], [0.333, 0.667, 0.250], [0.333, 0.667, 0.750], [0.667, 0.333, 0.250]]}

{"formula": "ReAsSe", "functional": "PBE", "state": "relaxed", "m_tot_mub_per_cell": 0.00, "e_form_raw_kj_per_mol_atoms": 55.4, "lattice_angstrom": [[4.539, 0.000, 0.000], [-2.269, 3.931, 0.000], [0.000, 0.000, 2.912]], "species": ["Se", "Re", "As"], "frac_coords": [[0.667, 0.333, 0.465], [0.333, 0.667, 0.349], [0.000, 0.000, 0.186]]}

{"formula": "LiMg8Ga2", "functional": "PBE", "state": "relaxed", "m_tot_mub_per_cell": 0.00, "energy_ev_per_atom": -1.943, "lattice_angstrom": [[4.306, 0.000, -1.238], [-0.753, 6.573, -2.620], [0.009, 0.273, 8.141]], "species": ["Mg", "Mg", "Mg", "Mg", "Mg", "Mg", "Mg", "Mg", "Ga", "Ga", "Li"], "frac_coords": [[0.842, 0.776, 0.683], [0.397, 0.535, 0.795], [0.323, 0.079, 0.645], [0.603, 0.465, 0.205], [0.962, 0.257, 0.925], [0.158, 0.224, 0.317], [0.677, 0.921, 0.355], [0.038, 0.743, 0.075], [0.212, 0.668, 0.424], [0.788, 0.332, 0.576], [0.500, 0.000, 0.000]]}

{"formula": "NbCd", "functional": "PBE", "state": "relaxed", "m_tot_mub_per_cell": 0.00, "energy_ev_per_atom": -4.693, "lattice_angstrom": [[5.521, 0.000, 0.000], [0.000, 5.521, 0.000], [0.000, 0.000, 5.755]], "species": ["Cd", "Cd", "Cd", "Cd", "Nb", "Nb", "Nb", "Nb"], "frac_coords": [[0.177, 0.177, 0.000], [0.823, 0.823, 0.000], [0.677, 0.323, 0.500], [0.323, 0.677, 0.500], [0.335, 0.665, 0.000], [0.165, 0.165, 0.500], [0.665, 0.335, 0.000], [0.835, 0.835, 0.500]]}